# Tl3Co2AgF9

A relaxed structure of Tl3Co2AgF9 (GGA+U, Alexandria).

Calculated values
Total energy ... -63.7 eV/cell
Fermi-level density of states ... 7.33 states/eV per cell

a b c (Å): 6.036 6.036 7.560
angles (deg): 90.00 90.00 120.00
Last column: magnetic moment on the atom in μB.
Positions (direct):
1 F 0.500 0.000 0.000  0.09
2 F 0.500 0.500 0.000  0.09
3 F 0.180 0.820 0.298  0.09
4 F 0.820 0.180 0.702  0.09
5 F 0.820 0.640 0.702  0.09
6 F 0.640 0.820 0.298  0.09
7 F 0.180 0.360 0.298  0.09
8 F 0.360 0.180 0.702  0.09
9 F 0.000 0.500 0.000  0.09
10 Co 0.667 0.333 0.850  3.02
11 Co 0.333 0.667 0.150  3.02
12 Tl 0.000 0.000 0.000  0.00
13 Tl 0.333 0.667 0.651  0.00
14 Tl 0.667 0.333 0.349  0.00
15 Ag 0.000 0.000 0.500  0.07